DFT (GGA-PBE) results for a relaxed structure of V2SbI.

a b c (Å): 6.7052 6.7052 6.7052
angles (deg): 90.00 90.00 90.00
Closest atoms and distances in Å follow each position.
Space group Fm-3m (No. 225)
Symmetry-distinct sites (fractional):
V 0.2500 0.2500 0.2500 x8  4 Sb 2.90, 4 I 2.90
Sb 0.0000 0.0000 0.0000 x4  8 V 2.90
I 0.0000 0.0000 0.5000 x4  8 V 2.90

Computed properties:
- DOS at the Fermi energy (states/eV per atom) = 1.03
- final energy (eV/atom) = -5.5030
- total magnetic moment (μB per formula unit) = 2.40
- energy relative to the elements, uncorrected (eV/atom) = 0.4745